Here is crystalline Pb2AuI at its relaxed geometry from Alexandria via LeMat-Bulk. Energies are from PBE.

Output
space group = No. 122
energy relative to the lowest polymorph listed for this composition = 0.227 eV per atom
formation energy without anion corrections = 0.033 eV/atom

abc: 8.591 8.591 8.591
angles: 132.52 132.52 69.41
Positions (direct):
1 Pb 0.057 0.625 0.932
2 Pb 0.375 0.307 0.432
3 Pb 0.693 0.125 0.068
4 Pb 0.875 0.943 0.568
5 Au 0.000 0.000 0.000
6 Au 0.750 0.250 0.500
7 I 0.250 0.750 0.500
8 I 0.500 0.500 0.000